This record from the Alexandria database describes crystalline AcPaSiGe at its relaxed geometry. The functional is PBE-GGA.

Unit cell a=5.2097 b=5.2097 c=5.2097 alpha=60.00 beta=60.00 gamma=60.00
Last column: nearest neighbours and their distance in Å.
Positions (direct):
Ac1 0.0000 0.0000 0.0000  4 Ge 3.19, 4 Si 3.19
Pa1 0.5000 0.5000 0.5000  4 Si 3.19, 4 Ge 3.19
Si1 0.7500 0.7500 0.7500  4 Pa 3.19, 4 Ac 3.19
Ge1 0.2500 0.2500 0.2500  4 Pa 3.19, 4 Ac 3.19

Results
formation energy from raw total energies = -181 meV/atom